Entry 1:
{
  "formula": "PaZnPt",
  "functional": "PBE-GGA",
  "state": "optimized geometry",
  "lattice": [[4.535, 0.000, 0.000], [-2.267, 3.927, 0.000], [0.000, 0.000, 3.254]],
  "species": ["Pa", "Zn", "Pt"],
  "fractional_positions": [[0.000, 0.000, 0.000], [0.333, 0.667, 0.500], [0.667, 0.333, 0.500]],
  "formation_enthalpy_0k_ev_per_atom": -0.6809,
  "e_tot_ev_per_cell": -18.854,
  "space_group": "P-6m2 (187)"
}

Entry 2:
{
  "formula": "CaP2Rh",
  "functional": "PBE-GGA",
  "state": "optimized geometry",
  "lattice": [[-2.035, 2.881, 3.241], [2.035, -2.881, 3.241], [2.035, 2.881, -3.241]],
  "species": ["Ca", "P", "P", "Rh"],
  "fractional_positions": [[0.000, 0.000, 0.000], [0.321, 0.821, 0.500], [0.679, 0.179, 0.500], [0.500, 0.500, 0.000]],
  "formation_enthalpy_0k_ev_per_atom": -0.6170,
  "e_tot_ev_per_cell": -22.641,
  "polymorph_energy_mev_per_atom": 206.6,
  "space_group": "Immm (71)"
}

Entry 3:
{
  "formula": "KFe2Rh",
  "functional": "PBE-GGA",
  "state": "optimized geometry",
  "lattice": [[4.426, -1.424, 0.000], [4.426, 1.424, 0.000], [-0.587, 0.000, 6.557]],
  "species": ["K", "Fe", "Fe", "Rh"],
  "fractional_positions": [[0.000, 0.000, 0.000], [0.231, 0.231, 0.631], [0.769, 0.769, 0.369], [0.500, 0.500, 0.500]],
  "formation_enthalpy_0k_ev_per_atom": 0.5781,
  "e_tot_ev_per_cell": -23.062,
  "polymorph_energy_mev_per_atom": 51.9,
  "space_group": "C2/m (12)"
}

Entry 4:
{
  "formula": "RbTl2PtBr6",
  "functional": "PBE-GGA",
  "state": "optimized geometry",
  "lattice": [[3.739, 2.159, 16.771], [-3.739, 2.159, 16.771], [0.000, -4.318, 16.771]],
  "species": ["Rb", "Rb", "Tl", "Tl", "Tl", "Tl", "Pt", "Pt", "Br", "Br", "Br", "Br", "Br", "Br", "Br", "Br", "Br", "Br", "Br", "Br"],
  "fractional_positions": [[0.083, 0.083, 0.083], [0.917, 0.917, 0.917], [0.185, 0.185, 0.185], [0.352, 0.352, 0.352], [0.648, 0.648, 0.648], [0.815, 0.815, 0.815], [0.000, 0.000, 0.000], [0.500, 0.500, 0.500], [0.135, 0.135, 0.643], [0.135, 0.643, 0.135], [0.203, 0.692, 0.692], [0.308, 0.308, 0.797], [0.308, 0.797, 0.308], [0.357, 0.865, 0.865], [0.643, 0.135, 0.135], [0.692, 0.203, 0.692], [0.692, 0.692, 0.203], [0.797, 0.308, 0.308], [0.865, 0.357, 0.865], [0.865, 0.865, 0.357]],
  "raw_formation_energy_ev_per_atom": -0.75,
  "e_tot_ev_per_cell": -58.459,
  "space_group": "R-3m (166)"
}

Entry 5:
{
  "formula": "Ba2CoMo",
  "functional": "PBE-GGA",
  "state": "optimized geometry",
  "lattice": [[3.780, 0.000, 0.000], [0.000, 4.872, 0.000], [0.000, 0.000, 5.585]],
  "species": ["Ba", "Ba", "Co", "Mo"],
  "fractional_positions": [[0.000, 0.000, 0.000], [0.500, 0.000, 0.500], [0.000, 0.500, 0.500], [0.500, 0.500, 0.000]],
  "formation_enthalpy_0k_ev_per_atom": 1.4034,
  "e_tot_ev_per_cell": -16.169,
  "polymorph_energy_mev_per_atom": 773.3,
  "space_group": "Pmmm (47)"
}

Entry 6:
{
  "formula": "ScCuMo2",
  "functional": "PBE-GGA",
  "state": "optimized geometry",
  "lattice": [[-3.760, 3.760, 2.468], [3.760, -3.760, 2.468], [3.760, 3.760, -2.468]],
  "species": ["Sc", "Sc", "Cu", "Cu", "Mo", "Mo", "Mo", "Mo"],
  "fractional_positions": [[0.000, 0.000, 0.000], [0.750, 0.250, 0.500], [0.250, 0.750, 0.500], [0.500, 0.500, 0.000], [0.167, 0.625, 0.042], [0.375, 0.417, 0.542], [0.583, 0.125, 0.958], [0.875, 0.833, 0.458]],
  "formation_enthalpy_0k_ev_per_atom": 0.5798,
  "e_tot_ev_per_cell": -59.542,
  "polymorph_energy_mev_per_atom": 540.0,
  "space_group": "I-42d (122)"
}

Entry 7:
{
  "formula": "Tb5PmDyTm2",
  "functional": "PBE-GGA",
  "state": "optimized geometry",
  "lattice": [[2.799, -9.933, 0.000], [2.799, 9.933, 0.000], [0.000, 0.000, 10.527]],
  "species": ["Tb", "Tb", "Tb", "Tb", "Tb", "Tb", "Tb", "Tb", "Tb", "Tb", "Pm", "Pm", "Dy", "Dy", "Tm", "Tm", "Tm", "Tm"],
  "fractional_positions": [[0.018, 0.982, 0.500], [0.281, 0.719, 0.789], [0.299, 0.701, 0.185], [0.388, 0.612, 0.500], [0.478, 0.522, 0.214], [0.522, 0.478, 0.714], [0.612, 0.388, 0.000], [0.701, 0.299, 0.685], [0.719, 0.281, 0.289], [0.982, 0.018, 0.000], [0.415, 0.585, 0.928], [0.585, 0.415, 0.428], [0.199, 0.801, 0.488], [0.801, 0.199, 0.988], [0.111, 0.889, 0.212], [0.114, 0.886, 0.795], [0.886, 0.114, 0.295], [0.889, 0.111, 0.712]],
  "formation_enthalpy_0k_ev_per_atom": 0.1587,
  "e_tot_ev_per_cell": -80.037,
  "space_group": "Cmc2_1 (36)"
}

Entry 8:
{
  "formula": "La3TeOs",
  "functional": "PBE-GGA",
  "state": "optimized geometry",
  "lattice": [[5.565, 0.000, 0.000], [0.000, 5.565, 0.000], [0.000, 0.000, 5.565]],
  "species": ["La", "La", "La", "Te", "Os"],
  "fractional_positions": [[0.000, 0.000, 0.500], [0.000, 0.500, 0.000], [0.500, 0.000, 0.000], [0.500, 0.500, 0.500], [0.000, 0.000, 0.000]],
  "raw_formation_energy_ev_per_atom": -0.47,
  "e_tot_ev_per_cell": -31.525,
  "polymorph_energy_mev_per_atom": 241.7,
  "space_group": "Pm-3m (221)"
}

Entry 9:
{
  "formula": "Dy4IrI5",
  "functional": "PBE-GGA",
  "state": "optimized geometry",
  "lattice": [[9.824, -2.073, 0.000], [9.824, 2.073, 0.000], [-1.927, 0.000, 8.697]],
  "species": ["Dy", "Dy", "Dy", "Dy", "Ir", "I", "I", "I", "I", "I"],
  "fractional_positions": [[0.001, 0.001, 0.201], [0.358, 0.358, 0.926], [0.642, 0.642, 0.074], [0.999, 0.999, 0.799], [0.500, 0.500, 0.000], [0.168, 0.168, 0.342], [0.178, 0.178, 0.833], [0.500, 0.500, 0.500], [0.822, 0.822, 0.167], [0.832, 0.832, 0.658]],
  "raw_formation_energy_ev_per_atom": -1.18,
  "e_tot_ev_per_cell": -46.783,
  "space_group": "C2/m (12)"
}

Entry 10:
{
  "formula": "HfInTe4",
  "functional": "PBE-GGA",
  "state": "optimized geometry",
  "lattice": [[7.508, -2.021, 0.000], [7.508, 2.021, 0.000], [-3.396, 0.000, 6.438]],
  "species": ["Hf", "In", "Te", "Te", "Te", "Te"],
  "fractional_positions": [[0.000, 0.000, 0.000], [0.500, 0.500, 0.500], [0.130, 0.130, 0.449], [0.367, 0.367, 0.014], [0.633, 0.633, 0.986], [0.870, 0.870, 0.551]],
  "raw_formation_energy_ev_per_atom": -0.43,
  "e_tot_ev_per_cell": -27.842,
  "space_group": "C2/m (12)"
}

Entry 11:
{
  "formula": "ScPaTcPb",
  "functional": "PBE-GGA",
  "state": "optimized geometry",
  "lattice": [[3.312, 0.000, 0.000], [0.000, 3.312, 0.000], [0.000, 0.000, 8.151]],
  "species": ["Sc", "Pa", "Tc", "Pb"],
  "fractional_positions": [[0.000, 0.000, 0.000], [0.000, 0.000, 0.593], [0.500, 0.500, 0.801], [0.500, 0.500, 0.276]],
  "formation_enthalpy_0k_ev_per_atom": -0.2986,
  "e_tot_ev_per_cell": -31.096,
  "polymorph_energy_mev_per_atom": 0.0,
  "space_group": "P4mm (99)"
}

Entry 12:
{
  "formula": "KSc2Pt",
  "functional": "PBE-GGA",
  "state": "optimized geometry",
  "lattice": [[-3.424, 3.424, 7.410], [3.424, -3.424, 7.410], [3.424, 3.424, -7.410]],
  "species": ["K", "K", "Sc", "Sc", "Sc", "Sc", "Pt", "Pt"],
  "fractional_positions": [[0.375, 0.625, 0.750], [0.625, 0.375, 0.250], [0.000, 0.000, 0.000], [0.000, 0.000, 0.500], [0.000, 0.500, 0.000], [0.500, 0.000, 0.500], [0.125, 0.875, 0.250], [0.875, 0.125, 0.750]],
  "formation_enthalpy_0k_ev_per_atom": 0.2005,
  "e_tot_ev_per_cell": -37.999,
  "polymorph_energy_mev_per_atom": 572.7,
  "space_group": "I4_1/amd (141)"
}

Entry 13:
{
  "formula": "AcPuAu4",
  "functional": "PBE-GGA",
  "state": "optimized geometry",
  "lattice": [[2.406, -4.175, 0.000], [2.406, 4.175, 0.000], [-0.019, 0.000, 7.314]],
  "species": ["Ac", "Pu", "Au", "Au", "Au", "Au"],
  "fractional_positions": [[0.000, 0.000, 0.000], [0.000, 0.000, 0.500], [0.333, 0.666, 0.725], [0.334, 0.667, 0.275], [0.666, 0.333, 0.725], [0.667, 0.334, 0.275]],
  "formation_enthalpy_0k_ev_per_atom": -0.6426,
  "e_tot_ev_per_cell": -35.405,
  "polymorph_energy_mev_per_atom": 0.0,
  "space_group": "C2/m (12)"
}

Entry 14:
{
  "formula": "LaReHg2",
  "functional": "PBE-GGA",
  "state": "optimized geometry",
  "lattice": [[2.946, -4.207, 0.000], [2.946, 4.207, 0.000], [0.000, 0.000, 3.637]],
  "species": ["La", "Re", "Hg", "Hg"],
  "fractional_positions": [[0.000, 0.000, 0.000], [0.500, 0.500, 0.000], [0.000, 0.500, 0.500], [0.500, 0.000, 0.500]],
  "formation_enthalpy_0k_ev_per_atom": 0.5654,
  "e_tot_ev_per_cell": -15.718,
  "polymorph_energy_mev_per_atom": 236.5,
  "space_group": "Cmmm (65)"
}

Entry 15:
{
  "formula": "ScPOs3",
  "functional": "PBE-GGA",
  "state": "optimized geometry",
  "lattice": [[4.636, 0.000, 0.000], [0.000, 4.636, 0.000], [0.000, 0.000, 4.636]],
  "species": ["Sc", "P", "Os", "Os", "Os"],
  "fractional_positions": [[0.000, 0.000, 0.000], [0.500, 0.500, 0.500], [0.000, 0.000, 0.500], [0.000, 0.500, 0.000], [0.500, 0.000, 0.000]],
  "formation_enthalpy_0k_ev_per_atom": 2.5949,
  "e_tot_ev_per_cell": -32.456,
  "polymorph_energy_mev_per_atom": 2378.5,
  "space_group": "Pm-3m (221)"
}

Entry 16:
{
  "formula": "Ga2B2P",
  "functional": "PBE-GGA",
  "state": "optimized geometry",
  "lattice": [[-1.486, 1.486, 6.981], [1.486, -1.486, 6.981], [1.486, 1.486, -6.981]],
  "species": ["Ga", "Ga", "B", "B", "P"],
  "fractional_positions": [[0.126, 0.126, 0.000], [0.874, 0.874, 0.000], [0.250, 0.750, 0.500], [0.750, 0.250, 0.500], [0.500, 0.500, 0.000]],
  "formation_enthalpy_0k_ev_per_atom": 0.7396,
  "e_tot_ev_per_cell": -21.121,
  "polymorph_energy_mev_per_atom": 0.0,
  "space_group": "I4/mmm (139)"
}

Entry 17:
{
  "formula": "K2CuMoCl6",
  "functional": "PBE-GGA",
  "state": "optimized geometry",
  "lattice": [[0.000, 4.991, 4.991], [4.991, 0.000, 4.991], [4.991, 4.991, 0.000]],
  "species": ["K", "K", "Cu", "Mo", "Cl", "Cl", "Cl", "Cl", "Cl", "Cl"],
  "fractional_positions": [[0.250, 0.250, 0.250], [0.750, 0.750, 0.750], [0.000, 0.000, 0.000], [0.500, 0.500, 0.500], [0.252, 0.252, 0.748], [0.252, 0.748, 0.252], [0.252, 0.748, 0.748], [0.748, 0.252, 0.252], [0.748, 0.252, 0.748], [0.748, 0.748, 0.252]],
  "raw_formation_energy_ev_per_atom": -1.17,
  "e_tot_ev_per_cell": -39.940,
  "polymorph_energy_mev_per_atom": 13.2,
  "space_group": "Fm-3m (225)"
}

Entry 18:
{
  "formula": "LaErGaCu",
  "functional": "PBE-GGA",
  "state": "optimized geometry",
  "lattice": [[0.000, 3.625, 3.625], [3.625, 0.000, 3.625], [3.625, 3.625, 0.000]],
  "species": ["La", "Er", "Ga", "Cu"],
  "fractional_positions": [[0.000, 0.000, 0.000], [0.500, 0.500, 0.500], [0.750, 0.750, 0.750], [0.250, 0.250, 0.250]],
  "formation_enthalpy_0k_ev_per_atom": -0.3630,
  "e_tot_ev_per_cell": -18.066,
  "space_group": "F-43m (216)"
}

Entry 19:
{
  "formula": "MgCo2Pt",
  "functional": "PBE-GGA",
  "state": "optimized geometry",
  "lattice": [[2.804, 0.000, 0.000], [0.000, 3.406, 0.000], [0.000, 0.000, 5.747]],
  "species": ["Mg", "Co", "Co", "Pt"],
  "fractional_positions": [[0.000, 0.000, 0.000], [0.000, 0.000, 0.534], [0.500, 0.500, 0.718], [0.500, 0.500, 0.265]],
  "formation_enthalpy_0k_ev_per_atom": -0.1463,
  "e_tot_ev_per_cell": -22.432,
  "space_group": "Pmm2 (25)"
}

Entry 20:
{
  "formula": "YScCd17",
  "functional": "PBE-GGA",
  "state": "optimized geometry",
  "lattice": [[5.013, 2.894, 5.002], [-5.013, 2.894, 5.002], [0.000, -5.789, 5.002]],
  "species": ["Y", "Sc", "Cd", "Cd", "Cd", "Cd", "Cd", "Cd", "Cd", "Cd", "Cd", "Cd", "Cd", "Cd", "Cd", "Cd", "Cd", "Cd", "Cd"],
  "fractional_positions": [[0.000, 0.000, 0.000], [0.638, 0.638, 0.638], [0.004, 0.321, 0.635], [0.004, 0.635, 0.321], [0.071, 0.704, 0.704], [0.226, 0.226, 0.226], [0.321, 0.004, 0.635], [0.321, 0.635, 0.004], [0.345, 0.345, 0.788], [0.345, 0.788, 0.345], [0.414, 0.414, 0.414], [0.435, 0.988, 0.988], [0.635, 0.004, 0.321], [0.635, 0.321, 0.004], [0.704, 0.071, 0.704], [0.704, 0.704, 0.071], [0.788, 0.345, 0.345], [0.988, 0.435, 0.988], [0.988, 0.988, 0.435]],
  "formation_enthalpy_0k_ev_per_atom": -0.0641,
  "e_tot_ev_per_cell": -29.570,
  "space_group": "R3m (160)"
}

Entry 21:
{
  "formula": "Zr2Nb2Tl",
  "functional": "PBE-GGA",
  "state": "optimized geometry",
  "lattice": [[7.518, 0.000, 0.000], [0.000, 7.518, 0.000], [0.000, 0.000, 3.867]],
  "species": ["Zr", "Zr", "Zr", "Zr", "Nb", "Nb", "Nb", "Nb", "Tl", "Tl"],
  "fractional_positions": [[0.174, 0.326, 0.000], [0.326, 0.826, 0.000], [0.674, 0.174, 0.000], [0.826, 0.674, 0.000], [0.122, 0.622, 0.500], [0.378, 0.122, 0.500], [0.622, 0.878, 0.500], [0.878, 0.378, 0.500], [0.000, 0.000, 0.500], [0.500, 0.500, 0.500]],
  "formation_enthalpy_0k_ev_per_atom": 0.1635,
  "e_tot_ev_per_cell": -77.569,
  "space_group": "P4/mbm (127)"
}

Entry 22:
{
  "formula": "CrPdSe2",
  "functional": "PBE-GGA",
  "state": "optimized geometry",
  "lattice": [[-2.835, 2.835, 5.634], [2.835, -2.835, 5.634], [2.835, 2.835, -5.634]],
  "species": ["Cr", "Cr", "Pd", "Pd", "Se", "Se", "Se", "Se"],
  "fractional_positions": [[0.000, 0.000, 0.000], [0.750, 0.250, 0.500], [0.250, 0.750, 0.500], [0.500, 0.500, 0.000], [0.104, 0.625, 0.979], [0.375, 0.354, 0.479], [0.646, 0.125, 0.021], [0.875, 0.896, 0.521]],
  "raw_formation_energy_ev_per_atom": -0.20,
  "e_tot_ev_per_cell": -45.209,
  "polymorph_energy_mev_per_atom": 45.4,
  "space_group": "I-42d (122)"
}

Entry 23:
{
  "formula": "Li3Sn3Pd",
  "functional": "PBE-GGA",
  "state": "optimized geometry",
  "lattice": [[8.649, 0.000, 0.000], [-4.325, 7.490, 0.000], [0.000, 0.000, 4.284]],
  "species": ["Li", "Li", "Li", "Li", "Li", "Li", "Sn", "Sn", "Sn", "Sn", "Sn", "Sn", "Pd", "Pd"],
  "fractional_positions": [[0.108, 0.554, 0.250], [0.446, 0.554, 0.250], [0.446, 0.892, 0.250], [0.554, 0.108, 0.750], [0.554, 0.446, 0.750], [0.892, 0.446, 0.750], [0.155, 0.310, 0.750], [0.155, 0.845, 0.750], [0.310, 0.155, 0.250], [0.690, 0.845, 0.750], [0.845, 0.155, 0.250], [0.845, 0.690, 0.250], [0.333, 0.667, 0.750], [0.667, 0.333, 0.250]],
  "formation_enthalpy_0k_ev_per_atom": -0.3747,
  "e_tot_ev_per_cell": -51.132,
  "space_group": "P6_3/mmc (194)"
}

Entry 24:
{
  "formula": "Be4InCo",
  "functional": "PBE-GGA",
  "state": "optimized geometry",
  "lattice": [[0.000, 3.119, 3.119], [3.119, 0.000, 3.119], [3.119, 3.119, 0.000]],
  "species": ["Be", "Be", "Be", "Be", "In", "Co"],
  "fractional_positions": [[0.123, 0.123, 0.123], [0.123, 0.123, 0.632], [0.123, 0.632, 0.123], [0.632, 0.123, 0.123], [0.500, 0.500, 0.500], [0.750, 0.750, 0.750]],
  "formation_enthalpy_0k_ev_per_atom": -0.0397,
  "e_tot_ev_per_cell": -24.988,
  "space_group": "F-43m (216)"
}

Entry 25:
{
  "formula": "TcAg2Sb",
  "functional": "PBE-GGA",
  "state": "optimized geometry",
  "lattice": [[3.430, 0.000, 0.000], [0.000, 3.430, 0.000], [0.000, 0.000, 6.256]],
  "species": ["Tc", "Ag", "Ag", "Sb"],
  "fractional_positions": [[0.000, 0.000, 0.000], [0.000, 0.000, 0.503], [0.500, 0.500, 0.275], [0.500, 0.500, 0.808]],
  "raw_formation_energy_ev_per_atom": 0.26,
  "e_tot_ev_per_cell": -19.144,
  "space_group": "P4mm (99)"
}